Here is a relaxed structure of Nd7Cu2Pt2 from Alexandria. Energies are from GGA-PBE.

## Properties
- size of the total moment (μB per formula unit) = 0.000
- calculated total energy (eV per cell) = -56.78
- Fermi-level density of states (states/eV per cell) = 14.21
- crystal system = orthorhombic

a = 6.8277 Å, b = 7.3321 Å, c = 6.8277 Å
α = 90.00°, β = 109.55°, γ = 90.00°
Sites, in units of the cell vectors:
Nd 0.9998 0.2713 0.5003
Nd 0.5003 0.7287 0.9998
Nd 0.0002 0.7287 0.4997
Nd 0.4997 0.2713 0.0002
Nd 0.0000 0.0000 0.0000
Nd 0.5002 0.7370 0.4998
Nd 0.4998 0.2630 0.5002
Cu 0.8359 0.5000 0.8359
Cu 0.1641 0.5000 0.1641
Pt 0.7079 0.0000 0.2921
Pt 0.2921 0.0000 0.7079

---

Here is a relaxed structure of AcTb4Ho5 from Alexandria. Energies are from GGA-PBE.

## Properties
- size of the total moment (μB per formula unit) = 0.000
- Fermi-level density of states (states/eV per cell) = 16.29
- excess energy over the best structure of this formula in the dataset (eV per atom) = 0.1226
- crystal system = tetragonal

a = 6.4035 Å, b = 7.9439 Å, c = 7.9439 Å
α = 80.65°, β = 66.23°, γ = 66.23°
Sites, in units of the cell vectors:
Ac 0.2318 0.0000 0.0000
Tb 0.3970 0.4096 0.7014
Tb 0.8066 0.7014 0.5904
Tb 0.0984 0.2986 0.4096
Tb 0.5080 0.5904 0.2986
Ho 0.7952 0.3867 0.9073
Ho 0.1819 0.9073 0.6133
Ho 0.7025 0.0927 0.3867
Ho 0.0892 0.6133 0.0927
Ho 0.6996 0.0000 0.0000

---

Here is a relaxed structure of Ac4Sn2Ru from Alexandria. Energies are from GGA-PBE.

## Properties
- size of the total moment (μB per formula unit) = 0.000
- calculated total energy (eV per cell) = -37.08
- Fermi-level density of states (states/eV per cell) = 5.15
- crystal system = monoclinic

a = 4.9289 Å, b = 9.2921 Å, c = 8.4194 Å
α = 135.94°, β = 107.02°, γ = 90.00°
Sites, in units of the cell vectors:
Ac 0.9280 0.2063 0.8561
Ac 0.0720 0.7937 0.1439
Ac 0.6688 0.2774 0.3376
Ac 0.3312 0.7226 0.6624
Sn 0.6397 0.6253 0.2794
Sn 0.3603 0.3747 0.7206
Ru 0.0000 0.0000 0.0000

---

Here is a relaxed structure of Cs2Pa2Te7 from Alexandria. Energies are from GGA-PBE.

## Properties
- size of the total moment (μB per formula unit) = 0.000
- E_form (uncorrected) (eV per atom) = -0.76
- excess energy over the best structure of this formula in the dataset (eV per atom) = 0.0000
- crystal system = monoclinic

a = 6.0731 Å, b = 10.4720 Å, c = 10.4720 Å
α = 122.86°, β = 81.62°, γ = 81.62°
Sites, in units of the cell vectors:
Cs 0.5000 0.2198 0.7802
Cs 0.5000 0.7802 0.2198
Pa 0.8444 0.3127 0.3127
Pa 0.1556 0.6873 0.6873
Te 0.1049 0.9314 0.6346
Te 0.8951 0.3654 0.0686
Te 0.8951 0.0686 0.3654
Te 0.1049 0.6346 0.9314
Te 0.0000 0.0000 0.0000
Te 0.6813 0.6355 0.6355
Te 0.3187 0.3645 0.3645

---

Here is a relaxed structure of CrGaSb2I from Alexandria. Energies are from GGA-PBE.

## Properties
- size of the total moment (μB per formula unit) = 0.091
- E_form (uncorrected) (eV per atom) = 0.16
- Fermi-level density of states (states/eV per cell) = 2.26
- excess energy over the best structure of this formula in the dataset (eV per atom) = 0.0000
- crystal system = tetragonal

a = 5.0344 Å, b = 5.0220 Å, c = 5.0344 Å
α = 90.00°, β = 90.00°, γ = 90.00°
Site moments in Bohr magnetons follow the coordinates.
Sites, in units of the cell vectors:
I 0.5000 0.5000 0.5000  -0.01
Sb 0.0000 0.0000 0.5000  -0.02
Sb 0.5000 0.0000 0.0000  -0.02
Ga 0.0000 0.5000 0.0000  0.00
Cr 0.0000 0.0000 0.0000  0.18

---

Here is a relaxed structure of Na10B13C7 from Alexandria. Energies are from GGA-PBE.

## Properties
- size of the total moment (μB per formula unit) = 0.000
- Fermi-level density of states (states/eV per cell) = 2.67
- excess energy over the best structure of this formula in the dataset (eV per atom) = 0.0188
- crystal system = orthorhombic

a = 12.7373 Å, b = 12.7373 Å, c = 8.5374 Å
α = 90.00°, β = 90.00°, γ = 167.26°
Sites, in units of the cell vectors:
Na 0.2001 0.7999 0.9973
Na 0.2001 0.7999 0.5027
Na 0.3998 0.6002 0.9955
Na 0.3998 0.6002 0.5045
Na 0.9995 0.0005 0.9973
Na 0.9995 0.0005 0.5027
Na 0.5996 0.4004 0.9976
Na 0.5996 0.4004 0.5024
Na 0.8001 0.1999 0.9948
Na 0.8001 0.1999 0.5052
B 0.7357 0.2643 0.2500
B 0.7338 0.2662 0.7500
B 0.2766 0.7234 0.2500
B 0.9339 0.0661 0.7500
B 0.4587 0.5413 0.2500
B 0.5264 0.4736 0.2500
B 0.5341 0.4659 0.7500
B 0.0642 0.9358 0.2500
B 0.1300 0.8700 0.2500
B 0.1341 0.8659 0.7500
B 0.6712 0.3288 0.2500
B 0.3336 0.6664 0.7500
B 0.8673 0.1327 0.2500
C 0.2670 0.7330 0.7500
C 0.9300 0.0700 0.2500
C 0.4670 0.5330 0.7500
C 0.0670 0.9330 0.7500
C 0.6671 0.3329 0.7500
C 0.3371 0.6629 0.2500
C 0.8670 0.1330 0.7500

---

Here is a relaxed structure of ZnNi2MoN from Alexandria. Energies are from GGA-PBE.

## Properties
- size of the total moment (μB per formula unit) = 0.003
- E_form (uncorrected) (eV per atom) = -0.11
- Fermi-level density of states (states/eV per cell) = 5.69
- crystal system = tetragonal

a = 3.8081 Å, b = 3.8081 Å, c = 4.0611 Å
α = 90.00°, β = 90.00°, γ = 90.00°
Sites, in units of the cell vectors:
Ni 0.0000 0.5000 0.0000
Ni 0.5000 0.0000 0.0000
Mo 0.0000 0.0000 0.5000
Zn 0.5000 0.5000 0.5000
N 0.0000 0.0000 0.0000

---

Here is a relaxed structure of VAg2Ge from Alexandria. Energies are from GGA-PBE.

## Properties
- size of the total moment (μB per formula unit) = 1.702
- calculated total energy (eV per cell) = -36.08
- Fermi-level density of states (states/eV per cell) = 4.81
- crystal system = tetragonal

a = 3.7560 Å, b = 3.7560 Å, c = 10.5323 Å
α = 79.73°, β = 79.73°, γ = 90.00°
Site moments in Bohr magnetons follow the coordinates.
Sites, in units of the cell vectors:
Ge 0.0000 0.0000 0.0000  -0.11
Ge 0.7500 0.2500 0.5000  -0.11
Ag 0.6253 0.1250 0.2500  0.02
Ag 0.1247 0.6250 0.2500  0.02
Ag 0.3750 0.3747 0.7500  0.02
Ag 0.8750 0.8753 0.7500  0.02
V 0.5000 0.5000 0.0000  1.62
V 0.2500 0.7500 0.5000  1.62

---

Here is a relaxed structure of Be3Te from Alexandria. Energies are from GGA-PBE.

## Properties
- size of the total moment (μB per formula unit) = 0.000
- E_form (uncorrected) (eV per atom) = 0.61
- Fermi-level density of states (states/eV per cell) = 3.47
- excess energy over the best structure of this formula in the dataset (eV per atom) = 0.4028
- crystal system = tetragonal

a = 9.6962 Å, b = 9.6962 Å, c = 9.6962 Å
α = 159.34°, β = 159.34°, γ = 29.39°
Sites, in units of the cell vectors:
Be 0.0000 0.5000 0.5000
Be 0.5000 0.0000 0.5000
Be 0.7500 0.2500 0.5000
Be 0.2500 0.7500 0.5000
Be 0.8280 0.8280 0.0000
Be 0.1720 0.1720 0.0000
Te 0.6075 0.6075 0.0000
Te 0.3925 0.3925 0.0000

---

Here is a relaxed structure of Rh2PbAu from Alexandria. Energies are from GGA-PBE.

## Properties
- size of the total moment (μB per formula unit) = 1.258
- calculated total energy (eV per cell) = -20.29
- Fermi-level density of states (states/eV per cell) = 4.92
- crystal system = trigonal

a = 9.5724 Å, b = 9.5724 Å, c = 9.5724 Å
α = 18.17°, β = 18.17°, γ = 18.17°
Site moments in Bohr magnetons follow the coordinates.
Sites, in units of the cell vectors:
Rh 0.9923 0.9923 0.9923  0.52
Rh 0.2548 0.2548 0.2548  0.77
Pb 0.7443 0.7443 0.7443  -0.01
Au 0.5087 0.5087 0.5087  -0.01

---

Here is a relaxed structure of BaP2Ru from Alexandria. Energies are from GGA-PBE.

## Properties
- size of the total moment (μB per formula unit) = 0.006
- Fermi-level density of states (states/eV per cell) = 5.37
- excess energy over the best structure of this formula in the dataset (eV per atom) = 1.3318
- crystal system = cubic

a = 4.8451 Å, b = 4.8451 Å, c = 4.8451 Å
α = 60.00°, β = 60.00°, γ = 60.00°
Sites, in units of the cell vectors:
Ba 0.5000 0.5000 0.5000
P 0.0000 0.0000 0.0000
P 0.2500 0.2500 0.2500
Ru 0.7500 0.7500 0.7500

---

Here is a relaxed structure of LiCaYPb from Alexandria. Energies are from GGA-PBE.

## Properties
- size of the total moment (μB per formula unit) = 0.000
- calculated total energy (eV per cell) = -15.37
- Fermi-level density of states (states/eV per cell) = 2.45
- crystal system = cubic

a = 5.3688 Å, b = 5.3688 Å, c = 5.3688 Å
α = 60.00°, β = 60.00°, γ = 60.00°
Sites, in units of the cell vectors:
Pb 0.5000 0.5000 0.5000
Y 0.7500 0.7500 0.7500
Ca 0.2500 0.2500 0.2500
Li 0.0000 0.0000 0.0000

---

| no. | mass density (g/cm3) |
| --- | --- |
| 1 | 7.9 |
| 2 | 8.3 |
| 3 | 8.5 |
| 4 | 5.1 |
| 5 | 6.4 |
| 6 | 2.5 |
| 7 | 8.3 |
| 8 | 7.8 |
| 9 | 4.5 |
| 10 | 13.6 |
| 11 | 6.2 |
| 12 | 5.2 |